Record 1
A plane-wave DFT calculation with GGA-PBE was carried out for a relaxed structure of ErN.

Results
Space-group type ... No. 187

abc: 3.297 3.297 3.004
angles: 90.00 90.00 120.00
Fractional coordinates of all 2 atoms:
Er: 0.000 0.000 0.000
N: 0.667 0.333 0.500

Record 2
A plane-wave DFT calculation with GGA-PBE was carried out for a relaxed structure of Er5N.

Results
Space-group type ... No. 191

abc: 6.127 6.127 5.926
angles: 90.00 90.00 120.00
Fractional coordinates of all 6 atoms:
Er: 0.000 0.500 0.000
Er: 0.333 0.667 0.500
Er: 0.500 0.000 0.000
Er: 0.500 0.500 0.000
Er: 0.667 0.333 0.500
N: 0.000 0.000 0.500

Record 3
A plane-wave DFT calculation with GGA-PBE was carried out for a relaxed structure of ErN.

Results
Space-group type ... No. 216

abc: 3.672 3.672 3.672
angles: 60.00 60.00 60.00
Fractional coordinates of all 2 atoms:
Er: 0.000 0.000 0.000
N: 0.750 0.750 0.750

Record 4
A plane-wave DFT calculation with GGA-PBE was carried out for a relaxed structure of ErN.

Results
Space-group type ... No. 51

abc: 6.272 3.460 6.044
angles: 90.00 90.00 90.00
Fractional coordinates of all 8 atoms:
Er: 0.000 0.000 0.000
Er: 0.250 0.500 0.493
Er: 0.500 0.000 0.000
Er: 0.750 0.500 0.507
N: 0.250 0.000 0.705
N: 0.250 0.500 0.129
N: 0.750 0.000 0.295
N: 0.750 0.500 0.871

Record 5
A plane-wave DFT calculation with GGA-PBE was carried out for a relaxed structure of ErN.

Results
Space-group type ... No. 221

abc: 2.947 2.947 2.947
angles: 90.00 90.00 90.00
Fractional coordinates of all 2 atoms:
Er: 0.000 0.000 0.000
N: 0.500 0.500 0.500

Record 6
A plane-wave DFT calculation with GGA-PBE was carried out for a relaxed structure of NaErNO.

Results
Space-group type ... No. 129

abc: 4.827 4.827 4.552
angles: 90.00 90.00 90.00
Fractional coordinates of all 8 atoms:
Na: 0.250 0.250 0.003
Na: 0.750 0.750 0.997
Er: 0.250 0.750 0.500
Er: 0.750 0.250 0.500
N: 0.250 0.250 0.503
N: 0.750 0.750 0.497
O: 0.250 0.750 0.000
O: 0.750 0.250 0.000

Number 1: energy -15.5 eV for the cell shown. Number 2: energy -22.8 eV for the cell shown. Number 3: energy -15.9 eV for the cell shown. Number 4: energy -60.3 eV for the cell shown. Number 5: energy -14.5 eV for the cell shown. Number 6: energy -49.6 eV for the cell shown.